4
Lattice="2.7450 0.0000 0.0000 0.0000 2.7450 0.0000 0.0000 0.0000 2.7450" Properties=species:S:1:pos:R:3 comment="PBE CrH3, optimized geometry" space_group="Pm-3m, No. 221" m_tot_mub_per_cell=2.272 e_tot_ev_per_atom=-4.73 pbc="T T T"
Cr 0.0000 0.0000 0.0000
H 0.0000 1.3725 1.3725
H 1.3725 0.0000 1.3725
H 1.3725 1.3725 0.0000

---

9
Lattice="-3.3975 3.3975 1.5069 3.3975 -3.3975 1.5069 3.3975 3.3975 -1.5069" Properties=species:S:1:pos:R:3 comment="PBE Cr5H4, optimized geometry" space_group="I4/m, No. 87" m_tot_mub_per_cell=0.000 e_tot_ev_per_atom=-6.63 pbc="T T T"
Cr 0.0000 0.0000 0.0000
Cr 4.0447 1.4550 0.0000
Cr 1.4550 2.7503 0.0000
Cr 1.9425 0.6472 1.5069
Cr -0.6472 1.9425 1.5069
H 5.0581 0.0863 0.0000
H 0.0863 1.7368 0.0000
H 3.3111 1.6607 1.5069
H -1.6607 3.3111 1.5069

---

12
Lattice="3.0480 0.0000 0.0000 -1.5240 2.6397 0.0000 0.0000 0.0000 23.7070" Properties=species:S:1:pos:R:3 comment="PBE Hf2CrH, optimized geometry" space_group="R-3m, No. 166" m_tot_mub_per_cell=6.937 e_above_lowest_polymorph_mev_per_atom=232 pbc="T T T"
Hf 0.0000 0.0000 2.5978
Hf 0.0000 0.0000 21.1092
Hf 0.0000 1.7598 13.2069
Hf 0.0000 1.7598 18.4025
Hf 1.5240 0.8799 5.3045
Hf 1.5240 0.8799 10.5001
Cr 0.0000 0.0000 0.0000
Cr 0.0000 1.7598 15.8047
Cr 1.5240 0.8799 7.9023
H 0.0000 0.0000 11.8535
H 0.0000 1.7598 3.9512
H 1.5240 0.8799 19.7558

---

16
Lattice="5.3617 0.0000 0.0000 0.0000 5.3617 0.0000 0.0000 0.0000 5.3617" Properties=species:S:1:pos:R:3 comment="PBE HfCrH2, optimized geometry" space_group="Fm-3m, No. 225" m_tot_mub_per_cell=5.722 e_above_lowest_polymorph_mev_per_atom=474 pbc="T T T"
Hf 0.0000 0.0000 0.0000
Hf 0.0000 2.6808 2.6808
Hf 2.6808 0.0000 2.6808
Hf 2.6808 2.6808 0.0000
Cr 0.0000 0.0000 2.6808
Cr 0.0000 2.6808 0.0000
Cr 2.6808 0.0000 0.0000
Cr 2.6808 2.6808 2.6808
H 1.3404 1.3404 1.3404
H 1.3404 1.3404 4.0213
H 1.3404 4.0213 1.3404
H 1.3404 4.0213 4.0213
H 4.0213 1.3404 1.3404
H 4.0213 1.3404 4.0213
H 4.0213 4.0213 1.3404
H 4.0213 4.0213 4.0213

---

10
Lattice="4.3914 0.0000 0.0000 -2.1957 3.8030 0.0000 0.0000 0.0000 4.9346" Properties=species:S:1:pos:R:3 comment="PBE HfCrH3, optimized geometry" space_group="P6_3/mmc, No. 194" m_tot_mub_per_cell=0.000 e_tot_ev_per_atom=-6.13 pbc="T T T"
Hf 0.0000 2.5354 1.2337
Hf 2.1957 1.2677 3.7010
Cr 0.0000 0.0000 0.0000
Cr 0.0000 0.0000 2.4673
H 0.0000 1.3054 3.7010
H -1.0652 3.1504 3.7010
H 1.1305 0.6527 1.2337
H 1.0652 3.1504 3.7010
H 3.2609 0.6527 1.2337
H 2.1957 2.4977 1.2337

---

10
Lattice="5.9945 0.0000 0.0000 0.0000 5.9945 0.0000 0.0000 0.0000 4.4583" Properties=species:S:1:pos:R:3 comment="PBE Hf2Cr2H, optimized geometry" space_group="P4/mbm, No. 127" m_tot_mub_per_cell=0.000 e_above_lowest_polymorph_mev_per_atom=0 pbc="T T T"
Hf 1.0747 1.9226 0.0000
Hf 1.9226 4.9199 0.0000
Hf 4.0719 1.0747 0.0000
Hf 4.9199 4.0719 0.0000
Cr 0.6784 3.6757 2.2292
Cr 2.3189 0.6784 2.2292
Cr 3.6757 5.3161 2.2292
Cr 5.3161 2.3189 2.2292
H 0.0000 0.0000 0.0000
H 2.9973 2.9973 0.0000

---

10
Lattice="3.2201 0.0000 0.0000 0.0000 3.2201 0.0000 0.0000 0.0000 14.6318" Properties=species:S:1:pos:R:3 comment="PBE Hf2Cr2H, optimized geometry" space_group="I4/mmm, No. 139" m_tot_mub_per_cell=0.000 e_above_lowest_polymorph_mev_per_atom=131 pbc="T T T"
Hf 0.0000 0.0000 1.4015
Hf 0.0000 0.0000 13.2303
Hf 1.6101 1.6101 5.9144
Hf 1.6101 1.6101 8.7174
Cr 0.0000 1.6101 3.6579
Cr 0.0000 1.6101 10.9738
Cr 1.6101 0.0000 3.6579
Cr 1.6101 0.0000 10.9738
H 0.0000 0.0000 7.3159
H 1.6101 1.6101 0.0000

---

16
Lattice="4.1800 0.0000 0.0000 0.0000 4.1800 0.0000 0.0000 0.0000 9.2824" Properties=species:S:1:pos:R:3 comment="PBE HfCrH2, optimized geometry" space_group="I-42d, No. 122" m_tot_mub_per_cell=7.297 e_above_lowest_polymorph_mev_per_atom=0 pbc="T T T"
Hf 0.0000 0.0000 0.0000
Hf 0.0000 2.0900 2.3206
Hf 2.0900 0.0000 6.9618
Hf 2.0900 2.0900 4.6412
Cr 0.0000 0.0000 4.6412
Cr 0.0000 2.0900 6.9618
Cr 2.0900 0.0000 2.3206
Cr 2.0900 2.0900 0.0000
H 0.8259 1.0450 5.8015
H 1.0450 2.9159 8.1221
H 1.0450 3.3542 3.4809
H 1.2642 1.0450 1.1603
H 2.9159 3.1350 1.1603
H 3.1350 0.8259 3.4809
H 3.1350 1.2642 8.1221
H 3.3542 3.1350 5.8015

---

12
Lattice="2.7459 0.0000 0.0000 0.0000 8.8661 0.0000 0.0000 0.0000 5.9026" Properties=species:S:1:pos:R:3 comment="PBE HfCrH, optimized geometry" space_group="Cmcm, No. 63" m_tot_mub_per_cell=0.972 e_tot_ev_per_atom=-7.35 pbc="T T T"
Hf 0.0000 0.0000 0.0000
Hf 0.0000 0.0000 2.9513
Hf 1.3729 4.4331 0.0000
Hf 1.3729 4.4331 2.9513
Cr 0.0000 2.3155 1.4756
Cr 0.0000 6.5506 4.4269
Cr 1.3729 2.1176 4.4269
Cr 1.3729 6.7485 1.4756
H 0.0000 3.4085 4.4269
H 0.0000 5.4576 1.4756
H 1.3729 1.0245 1.4756
H 1.3729 7.8416 4.4269

---

80
Lattice="-5.3993 5.3993 5.3993 5.3993 -5.3993 5.3993 5.3993 5.3993 -5.3993" Properties=species:S:1:pos:R:3 comment="PBE Hf3Cr5H12, optimized geometry" space_group="Ia-3d, No. 230" m_tot_mub_per_cell=22.775 e_tot_ev_per_atom=-6.04 pbc="T T T"
Hf 2.6996 1.3498 0.0000
Hf 5.3993 2.6996 -1.3498
Hf 1.3498 0.0000 2.6996
Hf 6.7491 0.0000 2.6996
Hf 0.0000 2.6996 1.3498
Hf 2.6996 -1.3498 5.3993
Hf 2.6996 6.7491 0.0000
Hf 5.3993 2.6996 4.0494
Hf -1.3498 5.3993 2.6996
Hf 4.0494 5.3993 2.6996
Hf 0.0000 2.6996 6.7491
Hf 2.6996 4.0494 5.3993
Cr 0.0000 0.0000 0.0000
Cr 2.6996 2.6996 -2.6996
Cr 2.6996 -2.6996 2.6996
Cr 5.3993 0.0000 0.0000
Cr 8.0989 1.3498 0.0000
Cr 5.3993 -2.6996 4.0494
Cr 4.0494 5.3993 -2.6996
Cr 4.0494 0.0000 2.6996
Cr 2.6996 4.0494 0.0000
Cr 5.3993 2.6996 1.3498
Cr -2.6996 2.6996 2.6996
Cr 0.0000 5.3993 0.0000
Cr 0.0000 0.0000 5.3993
Cr 2.6996 2.6996 2.6996
Cr 0.0000 2.6996 4.0494
Cr 2.6996 1.3498 5.3993
Cr 1.3498 5.3993 2.6996
Cr 1.3498 0.0000 8.0989
Cr 0.0000 8.0989 1.3498
Cr -2.6996 4.0494 5.3993
H 1.5774 -0.2279 0.6802
H 6.5215 3.3799 -2.9276
H 5.1713 -0.6802 1.5774
H 8.3268 -1.1222 2.0194
H 6.9767 0.2279 0.6802
H 6.5215 -2.0194 2.9276
H 0.6802 1.5774 -0.2279
H 7.4186 2.4717 -1.1222
H 3.3799 2.9276 -1.1222
H 4.7190 1.5774 0.2279
H -0.2279 0.6802 1.5774
H 2.9276 -1.1222 3.3799
H 5.1713 4.7190 -1.5774
H 2.9276 1.1222 2.0194
H 4.7190 -1.5774 5.1713
H 3.3799 -2.9276 6.5215
H 2.0194 2.9276 1.1222
H 6.0795 3.8218 0.2279
H 1.5774 5.1713 -0.6802
H 6.5215 2.0194 2.4717
H 2.9276 6.5215 -2.0194
H 5.1713 0.6802 3.8218
H 1.1222 2.0194 2.9276
H 1.5774 0.2279 4.7190
H 3.8218 5.1713 0.6802
H 4.2771 3.3799 2.4717
H 0.2279 4.7190 1.5774
H 2.4717 -1.1222 7.4186
H -1.1222 3.3799 2.9276
H 3.8218 0.2279 6.0795
H -0.6802 1.5774 5.1713
H 3.3799 2.4717 4.2771
H 2.0194 8.3268 -1.1222
H 0.6802 6.9767 0.2279
H 2.4717 4.2771 3.3799
H 0.2279 0.6802 6.9767
H 2.4717 6.5215 2.0194
H 5.6272 4.7190 3.8218
H 0.6802 3.8218 5.1713
H 2.0194 2.4717 6.5215
H -2.0194 2.9276 6.5215
H 4.7190 3.8218 5.6272
H -1.1222 7.4186 2.4717
H -1.5774 5.1713 4.7190
H -2.9276 6.5215 3.3799
H 0.2279 6.0795 3.8218
H -1.1222 2.0194 8.3268
H 3.8218 5.6272 4.7190

---

16
Lattice="6.2311 0.0000 0.0000 0.0000 6.2311 0.0000 0.0000 0.0000 6.2311" Properties=species:S:1:pos:R:3 comment="PBE Hf2CrH, optimized geometry" space_group="Fm-3m, No. 225" m_tot_mub_per_cell=0.001 e_above_lowest_polymorph_mev_per_atom=351 pbc="T T T"
Hf 1.5578 1.5578 1.5578
Hf 1.5578 1.5578 4.6733
Hf 1.5578 4.6733 1.5578
Hf 1.5578 4.6733 4.6733
Hf 4.6733 1.5578 1.5578
Hf 4.6733 1.5578 4.6733
Hf 4.6733 4.6733 1.5578
Hf 4.6733 4.6733 4.6733
Cr 0.0000 0.0000 0.0000
Cr 0.0000 3.1156 3.1156
Cr 3.1156 0.0000 3.1156
Cr 3.1156 3.1156 0.0000
H 0.0000 0.0000 3.1156
H 0.0000 3.1156 0.0000
H 3.1156 0.0000 0.0000
H 3.1156 3.1156 3.1156

---

16
Lattice="6.3190 0.0000 0.0000 0.0000 6.3190 0.0000 0.0000 0.0000 6.1917" Properties=species:S:1:pos:R:3 comment="PBE Hf2CrH, optimized geometry" space_group="I-42d, No. 122" m_tot_mub_per_cell=9.251 e_above_lowest_polymorph_mev_per_atom=0 pbc="T T T"
Hf 1.0696 1.5797 0.7740
Hf 1.5797 4.2291 2.3219
Hf 1.5797 5.2494 5.4177
Hf 2.0899 1.5797 3.8698
Hf 4.2291 4.7392 3.8698
Hf 4.7392 1.0696 5.4177
Hf 4.7392 2.0899 2.3219
Hf 5.2494 4.7392 0.7740
Cr 0.0000 0.0000 3.0958
Cr 0.0000 3.1595 4.6437
Cr 3.1595 0.0000 1.5479
Cr 3.1595 3.1595 0.0000
H 0.0000 0.0000 0.0000
H 0.0000 3.1595 1.5479
H 3.1595 0.0000 4.6437
H 3.1595 3.1595 3.0958

---

V, respectively: 20.7, 69.6, 190.7, 154.1, 82.4, 160.2, 151.7, 162.2, 143.7, 629.6, 241.9, 247.2 Å³/cell.